# ReAs2P

A geometry-optimized ReAs2P structure (PBE-GGA, the Alexandria database).

```
4
Lattice="4.400 -0.141 0.000 -0.121 4.400 0.000 -2.139 -2.130 3.204" Properties=species:S:1:pos:R:3 pbc="T T T"
As 0.000 0.000 0.000
As -0.061 2.200 1.602
P 2.139 2.130 0.000
Re 2.200 -0.071 1.602
```

Values from the calculation:
Total magnetization = 0.00 μB/cell
DFT total energy = -6.24 eV/atom
SG = I-4m2, No. 119

=====

# Ce2Sm2Ga3

A geometry-optimized Ce2Sm2Ga3 structure (PBE-GGA, the Alexandria database).

```
7
Lattice="-1.178 -1.545 3.805 -3.981 -3.141 -4.907 6.574 -2.815 0.892" Properties=species:S:1:pos:R:3 pbc="T T T"
Ce -2.709 -4.391 -0.224
Ce 4.125 -3.110 0.014
Sm 1.150 -5.420 0.553
Sm 0.265 -2.081 -0.763
Ga -0.589 -0.773 1.902
Ga 1.637 -2.652 1.828
Ga -0.222 -4.850 -2.038
```

Values from the calculation:
Total magnetization = 2.47 μB/cell
DFT total energy = -4.69 eV/atom
Offset from the most stable computed form = 0.42 eV/f.u.
SG = C2/m, No. 12

=====

# Ta4Mo

A geometry-optimized Ta4Mo structure (PBE-GGA, the Alexandria database).

```
10
Lattice="4.637 -0.220 0.000 -1.816 4.996 0.000 0.000 0.000 8.266" Properties=species:S:1:pos:R:3 pbc="T T T"
Ta 3.780 1.205 3.290
Ta 1.471 3.253 7.047
Ta 1.350 1.524 1.220
Ta -0.958 3.571 4.977
Ta 3.669 1.414 7.047
Ta 1.461 1.315 4.977
Ta 1.361 3.461 3.290
Ta -0.847 3.363 1.220
Mo 1.159 -0.055 7.258
Mo 3.478 -0.165 1.008
```

Values from the calculation:
Total magnetization = 0.00 μB/cell
DFT total energy = -11.37 eV/atom
Offset from the most stable computed form = 1.87 eV/f.u.
SG = P2/c, No. 13

=====

> Among the records above, which one has the lowest DFT total energy?

Ta4Mo

=====

Copy entry 1 word for word.
# ReAs2P

A geometry-optimized ReAs2P structure (PBE-GGA, the Alexandria database).

```
4
Lattice="4.400 -0.141 0.000 -0.121 4.400 0.000 -2.139 -2.130 3.204" Properties=species:S:1:pos:R:3 pbc="T T T"
As 0.000 0.000 0.000
As -0.061 2.200 1.602
P 2.139 2.130 0.000
Re 2.200 -0.071 1.602
```

Values from the calculation:
Total magnetization = 0.00 μB/cell
DFT total energy = -6.24 eV/atom
SG = I-4m2, No. 119